Entry i
Computed, not measured: an optimized crystal structure of CdTcN2 at the PBE level of DFT.

Cell: 6.803 6.803 6.803 Å, 27.00 27.00 27.00°
Positions (direct):
Cd1 0.000 0.000 0.000
Tc1 0.500 0.500 0.500
N1 0.407 0.407 0.407
N2 0.593 0.593 0.593

- Magnetic moment: 0.00 μB/f.u.

=====

Entry ii
Computed, not measured: an optimized crystal structure of CdTcN2 at the PBE level of DFT.

Cell: 7.073 7.073 7.073 Å, 24.08 24.08 24.08°
Positions (direct):
Cd1 0.000 0.000 0.000
Tc1 0.500 0.500 0.500
N1 0.109 0.109 0.109
N2 0.891 0.891 0.891

- Magnetic moment: 0.00 μB/f.u.

=====

Entry iii
Computed, not measured: an optimized crystal structure of CdTcN2 at the PBE level of DFT.

Cell: 3.965 3.965 3.965 Å, 60.00 60.00 60.00°
Positions (direct):
Cd1 0.000 0.000 0.000
Tc1 0.500 0.500 0.500
N1 0.250 0.250 0.250
N2 0.750 0.750 0.750

- Magnetic moment: 0.98 μB/f.u.

=====

Which of them is most stable, and which least? Most stable: entry ii; least stable: entry iii.

=====

Entry i
Computed, not measured: an optimized crystal structure of CdTc2N at the PBE level of DFT.

Cell: 7.704 7.704 7.704 Å, 23.58 23.58 23.58°
Positions (direct):
Cd1 0.000 0.000 0.000
Tc1 0.123 0.123 0.123
Tc2 0.877 0.877 0.877
N1 0.500 0.500 0.500

- Magnetic moment: 0.00 μB/f.u.

=====

Entry ii
Computed, not measured: an optimized crystal structure of CdTc2N at the PBE level of DFT.

Cell: 5.368 5.368 5.368 Å, 105.53 105.53 117.68°
Positions (direct):
Cd1 0.000 0.000 0.000
Cd2 0.750 0.250 0.500
Tc1 0.234 0.625 0.109
Tc2 0.375 0.484 0.609
Tc3 0.516 0.125 0.891
Tc4 0.875 0.766 0.391
N1 0.250 0.750 0.500
N2 0.500 0.500 0.000

- Magnetic moment: 0.68 μB/f.u.

=====

Entry iii
Computed, not measured: an optimized crystal structure of CdTc2N at the PBE level of DFT.

Cell: 4.303 4.303 4.303 Å, 60.00 60.00 60.00°
Positions (direct):
Cd1 0.000 0.000 0.000
Tc1 0.250 0.250 0.250
Tc2 0.750 0.750 0.750
N1 0.500 0.500 0.500

- Magnetic moment: 0.88 μB/f.u.

=====

Which of them is most stable, and which least? Most stable: entry ii; least stable: entry iii.

=====

Entry i
Computed, not measured: an optimized crystal structure of Cd3TcN at the PBE level of DFT.

Cell: 5.278 5.278 5.278 Å, 90.00 90.00 90.00°
Positions (direct):
Cd1 0.000 0.000 0.500
Cd2 0.000 0.500 0.000
Cd3 0.500 0.000 0.000
Tc1 0.000 0.000 0.000
N1 0.500 0.500 0.500

- Magnetic moment: 2.41 μB/f.u.

=====

Entry ii
Computed, not measured: an optimized crystal structure of Cd3TcN at the PBE level of DFT.

Cell: 4.533 4.533 4.533 Å, 90.00 90.00 90.00°
Positions (direct):
Cd1 0.000 0.000 0.500
Cd2 0.000 0.500 0.000
Cd3 0.500 0.000 0.000
Tc1 0.500 0.500 0.500
N1 0.000 0.000 0.000

- Magnetic moment: 2.37 μB/f.u.

=====

Which of them is most stable, and which least? Most stable: entry ii; least stable: entry i.

=====

Entry i
Computed, not measured: an optimized crystal structure of CdTe2N2 at the PBE level of DFT.

Cell: 4.113 4.113 6.630 Å, 90.00 90.00 90.00°
Positions (direct):
Cd1 0.000 0.000 0.000
Te1 0.500 0.500 0.000
Te2 0.500 0.500 0.500
N1 0.000 0.500 0.500
N2 0.500 0.000 0.500

- Magnetic moment: 1.03 μB/f.u.

=====

Entry ii
Computed, not measured: an optimized crystal structure of CdTe2N2 at the PBE level of DFT.

Cell: 5.855 5.855 4.107 Å, 90.00 90.00 90.00°
Positions (direct):
Cd1 0.000 0.000 0.000
Te1 0.000 0.500 0.000
Te2 0.500 0.000 0.000
N1 0.000 0.000 0.500
N2 0.500 0.500 0.500

- Magnetic moment: 3.22 μB/f.u.

=====

Entry iii
Computed, not measured: an optimized crystal structure of CdTe2N2 at the PBE level of DFT.

Cell: 4.397 4.397 6.599 Å, 90.00 90.00 90.00°
Positions (direct):
Cd1 0.000 0.000 0.000
Te1 0.000 0.000 0.500
Te2 0.500 0.500 0.500
N1 0.000 0.500 0.000
N2 0.500 0.000 0.000

- Magnetic moment: 4.26 μB/f.u.

=====

Entry iv
Computed, not measured: an optimized crystal structure of CdTe2N2 at the PBE level of DFT.

Cell: 4.759 4.759 4.181 Å, 90.00 90.00 90.00°
Positions (direct):
Cd1 0.000 0.000 0.000
Te1 0.000 0.500 0.500
Te2 0.500 0.000 0.500
N1 0.500 0.500 0.000
N2 0.500 0.500 0.500

- Magnetic moment: 2.01 μB/f.u.

=====

Which of them is most stable, and which least? Most stable: entry i; least stable: entry ii.

=====

Entry i
Computed, not measured: an optimized crystal structure of CdTeN at the PBE level of DFT.

Cell: 11.842 4.463 8.088 Å, 90.00 98.21 90.00°
Positions (direct):
Cd1 0.085 0.207 0.403
Cd2 0.085 0.293 0.903
Cd3 0.915 0.707 0.097
Cd4 0.915 0.793 0.597
Te1 0.162 0.642 0.648
Te2 0.162 0.858 0.148
Te3 0.838 0.142 0.852
Te4 0.838 0.358 0.352
N1 0.486 0.086 0.452
N2 0.486 0.414 0.952
N3 0.514 0.586 0.048
N4 0.514 0.914 0.548

- Magnetic moment: 0.00 μB/f.u.

=====

Entry ii
Computed, not measured: an optimized crystal structure of CdTeN at the PBE level of DFT.

Cell: 5.511 5.511 7.789 Å, 111.89 111.89 37.81°
Positions (direct):
Cd1 0.000 0.000 0.000
Cd2 0.586 0.586 0.488
Te1 0.217 0.217 0.807
Te2 0.794 0.794 0.250
N1 0.350 0.350 0.412
N2 0.591 0.591 0.198

- Magnetic moment: 0.00 μB/f.u.

=====

Which of them is most stable, and which least? Most stable: entry i; least stable: entry ii.

=====

Entry i
Computed, not measured: an optimized crystal structure of CdTe3N at the PBE level of DFT.

Cell: 4.840 4.840 4.840 Å, 90.00 90.00 90.00°
Positions (direct):
Cd1 0.000 0.000 0.000
Te1 0.000 0.500 0.500
Te2 0.500 0.000 0.500
Te3 0.500 0.500 0.000
N1 0.500 0.500 0.500

- Magnetic moment: 0.00 μB/f.u.

=====

Entry ii
Computed, not measured: an optimized crystal structure of CdTe3N at the PBE level of DFT.

Cell: 5.518 5.518 5.518 Å, 90.00 90.00 90.00°
Positions (direct):
Cd1 0.000 0.000 0.000
Te1 0.000 0.000 0.500
Te2 0.000 0.500 0.000
Te3 0.500 0.000 0.000
N1 0.500 0.500 0.500

- Magnetic moment: 0.00 μB/f.u.

=====

Which of them is most stable, and which least? Most stable: entry i; least stable: entry ii.

=====

Entry i
Computed, not measured: an optimized crystal structure of VCdTe2N at the PBE level of DFT.

Cell: 5.524 5.524 3.640 Å, 90.00 90.00 90.00°
Positions (direct):
V1 0.000 0.000 0.000
Cd1 0.500 0.500 0.500
Te1 0.000 0.500 0.000
Te2 0.500 0.000 0.000
N1 0.000 0.000 0.500

- Magnetic moment: 0.64 μB/f.u.

=====

Entry ii
Computed, not measured: an optimized crystal structure of VCdTe2N at the PBE level of DFT.

Cell: 5.694 5.694 4.068 Å, 90.00 90.00 90.00°
Positions (direct):
V1 0.000 0.000 0.000
Cd1 0.500 0.500 0.500
Te1 0.000 0.500 0.500
Te2 0.500 0.000 0.500
N1 0.500 0.500 0.000

- Magnetic moment: 4.59 μB/f.u.

=====

Which of them is most stable, and which least? Most stable: entry i; least stable: entry ii.

=====

Entry i
Computed, not measured: an optimized crystal structure of VCdTeN2 at the PBE level of DFT.

Cell: 4.123 4.123 5.816 Å, 90.00 90.00 90.00°
Positions (direct):
V1 0.000 0.000 0.000
Cd1 0.500 0.500 0.500
Te1 0.500 0.500 0.000
N1 0.000 0.500 0.500
N2 0.500 0.000 0.500

- Magnetic moment: 0.13 μB/f.u.

=====

Entry ii
Computed, not measured: an optimized crystal structure of VCdTeN2 at the PBE level of DFT.

Cell: 3.902 3.902 5.667 Å, 90.00 90.00 90.00°
Positions (direct):
V1 0.000 0.000 0.000
Cd1 0.500 0.500 0.500
Te1 0.000 0.000 0.500
N1 0.000 0.500 0.000
N2 0.500 0.000 0.000

- Magnetic moment: 0.49 μB/f.u.

=====

Which of them is most stable, and which least? Most stable: entry ii; least stable: entry i.

=====

Entry i
Computed, not measured: an optimized crystal structure of CdTeWN2 at the PBE level of DFT.

Cell: 4.138 4.138 7.232 Å, 90.00 90.00 90.00°
Positions (direct):
Cd1 0.000 0.000 0.000
Te1 0.000 0.000 0.500
W1 0.500 0.500 0.500
N1 0.000 0.500 0.000
N2 0.500 0.000 0.000

- Magnetic moment: 6.93 μB/f.u.

=====

Entry ii
Computed, not measured: an optimized crystal structure of CdTeWN2 at the PBE level of DFT.

Cell: 3.992 3.992 5.773 Å, 90.00 90.00 90.00°
Positions (direct):
Cd1 0.000 0.000 0.000
Te1 0.500 0.500 0.000
W1 0.500 0.500 0.500
N1 0.000 0.500 0.500
N2 0.500 0.000 0.500

- Magnetic moment: 0.00 μB/f.u.

=====

Which of them is most stable, and which least? Most stable: entry ii; least stable: entry i.

=====

Entry i
Computed, not measured: an optimized crystal structure of YCdTe2N at the PBE level of DFT.

Cell: 5.704 5.704 4.179 Å, 90.00 90.00 90.00°
Positions (direct):
Y1 0.000 0.000 0.000
Cd1 0.500 0.500 0.500
Te1 0.000 0.500 0.500
Te2 0.500 0.000 0.500
N1 0.500 0.500 0.000

- Magnetic moment: 1.73 μB/f.u.

=====

Entry ii
Computed, not measured: an optimized crystal structure of YCdTe2N at the PBE level of DFT.

Cell: 6.131 6.131 4.061 Å, 90.00 90.00 90.00°
Positions (direct):
Y1 0.000 0.000 0.000
Cd1 0.500 0.500 0.500
Te1 0.000 0.500 0.000
Te2 0.500 0.000 0.000
N1 0.000 0.000 0.500

- Magnetic moment: 0.00 μB/f.u.

=====

Which of them is most stable, and which least? Most stable: entry ii; least stable: entry i.

=====

Entry i
Computed, not measured: an optimized crystal structure of ZnCdTe2N at the PBE level of DFT.

Cell: 5.828 5.828 4.064 Å, 90.00 90.00 90.00°
Positions (direct):
Zn1 0.000 0.000 0.000
Cd1 0.500 0.500 0.500
Te1 0.000 0.500 0.500
Te2 0.500 0.000 0.500
N1 0.500 0.500 0.000

- Magnetic moment: 1.89 μB/f.u.

=====

Entry ii
Computed, not measured: an optimized crystal structure of ZnCdTe2N at the PBE level of DFT.

Cell: 5.854 5.854 3.590 Å, 90.00 90.00 90.00°
Positions (direct):
Zn1 0.000 0.000 0.000
Cd1 0.500 0.500 0.500
Te1 0.000 0.500 0.000
Te2 0.500 0.000 0.000
N1 0.000 0.000 0.500

- Magnetic moment: 1.92 μB/f.u.

=====

Which of them is most stable, and which least? Most stable: entry ii; least stable: entry i.

=====

Entry i
Computed, not measured: an optimized crystal structure of ZrCdTeN2 at the PBE level of DFT.

Cell: 4.198 4.198 6.184 Å, 90.00 90.00 90.00°
Positions (direct):
Zr1 0.000 0.000 0.000
Cd1 0.500 0.500 0.500
Te1 0.000 0.000 0.500
N1 0.000 0.500 0.000
N2 0.500 0.000 0.000

- Magnetic moment: 0.34 μB/f.u.

=====

Entry ii
Computed, not measured: an optimized crystal structure of ZrCdTeN2 at the PBE level of DFT.

Cell: 4.221 4.221 5.519 Å, 90.00 90.00 90.00°
Positions (direct):
Zr1 0.000 0.000 0.000
Cd1 0.500 0.500 0.500
Te1 0.500 0.500 0.000
N1 0.000 0.500 0.500
N2 0.500 0.000 0.500

- Magnetic moment: 0.00 μB/f.u.

=====

Which of them is most stable, and which least? Most stable: entry i; least stable: entry ii.